VASP calculation (PBE) on a geometry-optimized ZnMo3CN structure.

Values from the calculation:
As for the total energy: -8.510 eV/atom. Its magnetic moment is 0.01 Bohr magnetons per cell. Its symmetry is P-3m1.

Cell: 3.0707 3.0707 18.3440 Å, 90.00 90.00 120.00°
Fractional positions:
Mo: 0.0000 0.0000 0.0000
Mo: 0.0000 0.0000 0.5000
Mo: 0.3333 0.6667 0.6287
Mo: 0.6667 0.3333 0.1320
Mo: 0.3333 0.6667 0.8680
Mo: 0.6667 0.3333 0.3713
N: 0.3333 0.6667 0.4307
N: 0.6667 0.3333 0.5693
C: 0.3333 0.6667 0.0716
C: 0.6667 0.3333 0.9284
Zn: 0.0000 0.0000 0.7477
Zn: 0.0000 0.0000 0.2523



VASP calculation (PBE) on a geometry-optimized SmNiBPt3 structure.

Values from the calculation:
As for the total energy: -6.559 eV/atom. Its magnetic moment is 0.01 Bohr magnetons per cell. Its symmetry is P6/mmm.

Cell: 5.4421 5.4421 7.3594 Å, 90.00 90.00 120.00°
Fractional positions:
Sm: 0.0000 0.0000 0.5000
Sm: 0.0000 0.0000 0.0000
Pt: 0.5000 0.5000 0.7119
Pt: 0.5000 0.0000 0.7119
Pt: 0.5000 0.5000 0.2881
Pt: 0.0000 0.5000 0.2881
Pt: 0.0000 0.5000 0.7119
Pt: 0.5000 0.0000 0.2881
B: 0.3333 0.6667 0.5000
B: 0.6667 0.3333 0.5000
Ni: 0.3333 0.6667 0.0000
Ni: 0.6667 0.3333 0.0000



VASP calculation (PBE) on a geometry-optimized Cs2DyPbCl6 structure.

Values from the calculation:
Its energy above the most stable polymorph in this dataset is 47.3 meV/atom. As for the total energy: -3.871 eV/atom. Its magnetic moment is 1.00 Bohr magnetons per cell. Its symmetry is I4/mmm.

Cell: 7.9761 7.9761 7.9761 Å, 118.52 118.52 92.58°
Each line ends with the local moment (μB).
Fractional positions:
Dy: 0.0000 0.0000 0.0000  0.12
Cl: 0.2285 0.7715 0.0000  0.01
Cl: 0.2285 0.2285 0.4570  0.01
Cl: 0.2394 0.2394 0.0000  0.00
Cl: 0.7606 0.7606 0.0000  0.00
Cl: 0.7715 0.7715 0.5430  0.01
Cl: 0.7715 0.2285 0.0000  0.01
Cs: 0.7500 0.2500 0.5000  0.00
Cs: 0.2500 0.7500 0.5000  0.00
Pb: 0.5000 0.5000 0.0000  0.30



VASP calculation (PBE) on a geometry-optimized PrDy2Mg3Ir3 structure.

Values from the calculation:
As for the total energy: -5.668 eV/atom. Its magnetic moment is 0.01 Bohr magnetons per cell. Its symmetry is Amm2.

Cell: 4.0879 7.3265 7.3265 Å, 120.19 90.00 90.00°
Fractional positions:
Mg: 0.5000 0.2416 0.2416
Mg: 0.5000 0.0030 0.7577
Mg: 0.5000 0.7577 0.0030
Ir: 0.5000 0.3273 0.6699
Ir: 0.0000 0.0060 0.0060
Ir: 0.5000 0.6699 0.3273
Dy: 0.0000 0.4080 0.9997
Dy: 0.0000 0.9997 0.4080
Pr: 0.0000 0.5869 0.5869



VASP calculation (PBE) on a geometry-optimized NaCoBi structure.

Values from the calculation:
As for the total energy: -3.828 eV/atom. Its magnetic moment is 1.32 Bohr magnetons per cell. Its symmetry is F-43m.

Cell: 4.5355 4.5355 4.5355 Å, 60.00 60.00 60.00°
Fractional positions:
Bi: 0.2500 0.2500 0.2500
Co: 0.0000 0.0000 0.0000
Na: 0.7500 0.7500 0.7500



VASP calculation (PBE) on a geometry-optimized RbLiMoPd structure.

Values from the calculation:
Its energy above the most stable polymorph in this dataset is 198.9 meV/atom. As for the total energy: -3.469 eV/atom. Its magnetic moment is 4.30 Bohr magnetons per cell. Its symmetry is F-43m.

Cell: 5.0906 5.0906 5.0906 Å, 60.00 60.00 60.00°
Fractional positions:
Li: 0.7500 0.7500 0.7500
Rb: 0.2500 0.2500 0.2500
Pd: 0.0000 0.0000 0.0000
Mo: 0.5000 0.5000 0.5000



VASP calculation (PBE) on a geometry-optimized YMgCoSi structure.

Values from the calculation:
Its energy above the most stable polymorph in this dataset is 15.9 meV/atom. As for the total energy: -5.274 eV/atom. Its magnetic moment is 1.01 Bohr magnetons per cell. Its symmetry is F-43m.

Cell: 4.6528 4.6528 4.6528 Å, 60.00 60.00 60.00°
Fractional positions:
Y: 0.2500 0.2500 0.2500
Si: 0.5000 0.5000 0.5000
Co: 0.0000 0.0000 0.0000
Mg: 0.7500 0.7500 0.7500



VASP calculation (PBE) on a geometry-optimized HoBr2 structure.

Values from the calculation:
As for the total energy: -4.110 eV/atom. Its magnetic moment is 0.14 Bohr magnetons per cell. Its symmetry is P4_2/mnm.

Cell: 7.0843 7.0843 3.7053 Å, 90.00 90.00 90.00°
Fractional positions:
Br: 0.7180 0.7180 0.0000
Br: 0.7820 0.2181 0.5000
Br: 0.2181 0.7820 0.5000
Br: 0.2820 0.2820 0.0000
Ho: 0.0000 0.0000 0.0000
Ho: 0.5000 0.5000 0.5000



VASP calculation (PBE) on a geometry-optimized Sr2SiIr2 structure.

Values from the calculation:
As for the total energy: -5.422 eV/atom. Its magnetic moment is 0.00 Bohr magnetons per cell. Its symmetry is I4/mmm.

Cell: 5.5641 5.5641 5.5641 Å, 114.33 114.33 100.13°
Fractional positions:
Sr: 0.7500 0.2500 0.5000
Sr: 0.2500 0.7500 0.5000
Ir: 0.3153 0.3153 0.0000
Ir: 0.6847 0.6847 0.0000
Si: 0.0000 0.0000 0.0000



VASP calculation (PBE) on a geometry-optimized CsLaPt structure.

Values from the calculation:
Its energy above the most stable polymorph in this dataset is 567.8 meV/atom. As for the total energy: -3.434 eV/atom. Its magnetic moment is 0.00 Bohr magnetons per cell. Its symmetry is F-43m.

Cell: 5.0828 5.0828 5.0828 Å, 60.00 60.00 60.00°
Fractional positions:
Cs: 0.0000 0.0000 0.0000
La: 0.2500 0.2500 0.2500
Pt: 0.7500 0.7500 0.7500



VASP calculation (PBE) on a geometry-optimized AgTePtO structure.

Values from the calculation:
Its energy above the most stable polymorph in this dataset is 0.0 meV/atom. As for the total energy: -4.451 eV/atom. Its magnetic moment is 0.00 Bohr magnetons per cell. Its symmetry is Pbca.

Cell: 6.8298 6.9169 13.1775 Å, 90.00 90.00 90.00°
Fractional positions:
Te: 0.6877 0.0013 0.5829
Te: 0.3123 0.5013 0.9171
Te: 0.6877 0.4987 0.0829
Te: 0.8123 0.9987 0.0829
Te: 0.1877 0.0013 0.9171
Te: 0.1877 0.4987 0.4171
Te: 0.8123 0.5013 0.5829
Te: 0.3123 0.9987 0.4171
Pt: 0.5029 0.8028 0.9991
Pt: 0.0029 0.8028 0.5009
Pt: 0.9971 0.3028 0.9991
Pt: 0.5029 0.6972 0.4991
Pt: 0.0029 0.6972 0.0009
Pt: 0.9971 0.1972 0.4991
Pt: 0.4971 0.3028 0.5009
Pt: 0.4971 0.1972 0.0009
Ag: 0.2402 0.2579 0.6665
Ag: 0.7598 0.7579 0.8335
Ag: 0.7598 0.7421 0.3335
Ag: 0.2598 0.7579 0.6665
Ag: 0.7402 0.2421 0.3335
Ag: 0.2402 0.2421 0.1665
Ag: 0.2598 0.7421 0.1665
Ag: 0.7402 0.2579 0.8335
O: 0.3331 0.5026 0.7718
O: 0.6669 0.0026 0.7282
O: 0.8331 0.9974 0.2282
O: 0.6669 0.4974 0.2282
O: 0.8331 0.5026 0.7282
O: 0.1669 0.0026 0.7718
O: 0.3331 0.9974 0.2718
O: 0.1669 0.4974 0.2718



VASP calculation (PBE) on a geometry-optimized GdAgTeSe structure.

Values from the calculation:
Its energy above the most stable polymorph in this dataset is 0.0 meV/atom. As for the total energy: -4.600 eV/atom. Its magnetic moment is 0.00 Bohr magnetons per cell. Its symmetry is P2_1.

Cell: 4.5484 6.9888 6.9718 Å, 90.00 91.26 90.00°
Fractional positions:
Se: 0.7266 0.7020 0.9520
Se: 0.2734 0.2020 0.0480
Ag: 0.9977 0.4956 0.2552
Ag: 0.0023 0.9956 0.7448
Te: 0.7037 0.2961 0.5496
Te: 0.2963 0.7961 0.4504
Gd: 0.2017 0.5062 0.7764
Gd: 0.7983 0.0062 0.2236



VASP calculation (PBE) on a geometry-optimized LiNi2Sb structure.

Values from the calculation:
As for the total energy: -4.613 eV/atom. Its magnetic moment is 0.01 Bohr magnetons per cell. Its symmetry is P6_3/mmc.

Cell: 4.1379 4.1379 7.4607 Å, 90.00 90.00 120.00°
Fractional positions:
Sb: 0.6667 0.3333 0.7500
Sb: 0.3333 0.6667 0.2500
Ni: 0.6667 0.3333 0.4122
Ni: 0.3333 0.6667 0.5878
Ni: 0.3333 0.6667 0.9122
Ni: 0.6667 0.3333 0.0878
Li: 0.0000 0.0000 0.5000
Li: 0.0000 0.0000 0.0000



VASP calculation (PBE) on a geometry-optimized BaAs2Pd2 structure.

Values from the calculation:
As for the total energy: -5.073 eV/atom. Its symmetry is I4/mmm.

Cell: 4.4997 4.4997 6.2054 Å, 111.26 111.26 90.00°
Fractional positions:
Ba: 0.0000 0.0000 0.0000
As: 0.3711 0.3711 0.7422
As: 0.6289 0.6289 0.2578
Pd: 0.7500 0.2500 0.5000
Pd: 0.2500 0.7500 0.5000



VASP calculation (PBE) on a geometry-optimized TaInAgSe3 structure.

Values from the calculation:
As for the total energy: -5.059 eV/atom. Its magnetic moment is 0.05 Bohr magnetons per cell. Its symmetry is Cmcm.

Cell: 8.2092 8.2092 10.2669 Å, 90.00 90.00 25.34°
Fractional positions:
Se: 0.0325 0.0325 0.2500
Se: 0.9675 0.9675 0.7500
Se: 0.6159 0.6159 0.9705
Se: 0.6159 0.6159 0.5295
Se: 0.3841 0.3841 0.0295
Se: 0.3841 0.3841 0.4705
Ta: 0.0000 0.0000 0.0000
Ta: 0.0000 0.0000 0.5000
In: 0.6690 0.6690 0.2500
In: 0.3310 0.3310 0.7500
Ag: 0.6966 0.6966 0.7500
Ag: 0.3034 0.3034 0.2500



VASP calculation (PBE) on a geometry-optimized RbNa3Cu2P2 structure.

Values from the calculation:
As for the total energy: -3.193 eV/atom. Its symmetry is Pm.

Cell: 5.7096 5.3590 6.0215 Å, 90.00 104.66 90.00°
Fractional positions:
P: 0.7735 0.5000 0.7322
P: 0.2303 0.0000 0.2686
Na: 0.5316 0.5000 0.1965
Na: 0.8191 0.0000 0.4802
Na: 0.1707 0.5000 0.5039
Cu: 0.0075 0.7455 0.0012
Cu: 0.0075 0.2545 0.0012
Rb: 0.4599 0.0000 0.8161



VASP calculation (PBE) on a geometry-optimized LiTlSiPt structure.

Values from the calculation:
Its energy above the most stable polymorph in this dataset is 51.2 meV/atom. As for the total energy: -4.005 eV/atom. Its magnetic moment is 0.00 Bohr magnetons per cell. Its symmetry is F-43m.

Cell: 4.5804 4.5804 4.5804 Å, 60.00 60.00 60.00°
Fractional positions:
Si: 0.2500 0.2500 0.2500
Pt: 0.0000 0.0000 0.0000
Tl: 0.5000 0.5000 0.5000
Li: 0.7500 0.7500 0.7500



VASP calculation (PBE) on a geometry-optimized DyHoBr6 structure.

Values from the calculation:
As for the total energy: -4.276 eV/atom. Its magnetic moment is 0.00 Bohr magnetons per cell. Its symmetry is C2.

Cell: 7.1094 7.1094 6.9475 Å, 100.17 100.17 120.22°
Fractional positions:
Br: 0.2338 0.2325 0.2452
Br: 0.9385 0.5845 0.2446
Br: 0.5820 0.9373 0.2448
Br: 0.7675 0.7662 0.7548
Br: 0.4155 0.0615 0.7554
Br: 0.0627 0.4180 0.7552
Ho: 0.1658 0.8342 0.0000
Dy: 0.8342 0.1658 0.0000



VASP calculation (PBE) on a geometry-optimized ZnTc structure.

Values from the calculation:
Its energy above the most stable polymorph in this dataset is 146.6 meV/atom. As for the total energy: -5.697 eV/atom. Its magnetic moment is 0.07 Bohr magnetons per cell. Its symmetry is Pmmn. Its formation energy is 11.2 kJ/mol of atoms.

Cell: 4.8005 10.9126 4.3584 Å, 90.00 90.00 90.00°
Fractional positions:
Zn: 0.8288 0.6235 0.5000
Zn: 0.3496 0.5032 0.5000
Zn: 0.9838 0.0032 0.0000
Zn: 0.9838 0.7468 0.0000
Zn: 0.3496 0.2467 0.5000
Zn: 0.5044 0.6265 0.0000
Zn: 0.8288 0.1265 0.5000
Zn: 0.5044 0.1235 0.0000
Tc: 0.0261 0.2552 0.0000
Tc: 0.3072 0.7552 0.5000
Tc: 0.5104 0.3750 0.0000
Tc: 0.3072 0.9948 0.5000
Tc: 0.0261 0.4948 0.0000
Tc: 0.4895 0.8750 0.0000
Tc: 0.8230 0.8750 0.5000
Tc: 0.8439 0.3750 0.5000



VASP calculation (PBE) on a geometry-optimized BeHgPtPb structure.

Values from the calculation:
Its energy above the most stable polymorph in this dataset is 0.0 meV/atom. As for the total energy: -3.034 eV/atom. Its magnetic moment is 0.00 Bohr magnetons per cell. Its symmetry is F-43m.

Cell: 4.8020 4.8020 4.8020 Å, 60.00 60.00 60.00°
Fractional positions:
Pt: 0.5000 0.5000 0.5000
Hg: 0.0000 0.0000 0.0000
Be: 0.7500 0.7500 0.7500
Pb: 0.2500 0.2500 0.2500



VASP calculation (PBE) on a geometry-optimized NbAgOs structure.

Values from the calculation:
Its energy above the most stable polymorph in this dataset is 107.2 meV/atom. As for the total energy: -7.277 eV/atom. Its magnetic moment is 0.00 Bohr magnetons per cell. Its symmetry is F-43m. Its formation energy is 74.4 kJ/mol of atoms.

Cell: 4.3636 4.3636 4.3636 Å, 60.00 60.00 60.00°
Fractional positions:
Os: 0.7500 0.7500 0.7500
Ag: 0.2500 0.2500 0.2500
Nb: 0.0000 0.0000 0.0000



VASP calculation (PBE) on a geometry-optimized Hf2Ni3W4C3 structure.

Values from the calculation:
As for the total energy: -9.922 eV/atom. Its magnetic moment is 0.02 Bohr magnetons per cell. Its symmetry is C2/c.

Cell: 5.2802 5.2802 13.4193 Å, 101.68 101.68 59.93°
Fractional positions:
Hf: 0.4586 0.6220 0.3800
Hf: 0.3780 0.5414 0.1200
Hf: 0.5414 0.3780 0.6200
Hf: 0.6220 0.4586 0.8800
Ni: 0.1067 0.4132 0.7478
Ni: 0.8933 0.5868 0.2522
Ni: 0.5868 0.8933 0.7522
Ni: 0.0681 0.9319 0.7500
Ni: 0.4132 0.1067 0.2478
Ni: 0.9319 0.0681 0.2500
W: 0.6957 0.8549 0.0859
W: 0.1451 0.3043 0.4141
W: 0.0198 0.2041 0.0861
W: 0.8549 0.6957 0.5859
W: 0.7959 0.9802 0.4139
W: 0.9802 0.7959 0.9139
W: 0.2041 0.0198 0.5861
W: 0.3043 0.1451 0.9141
C: 0.1754 0.6621 0.4998
C: 0.8246 0.3379 0.5002
C: 0.3379 0.8246 0.0002
C: 0.5000 0.0000 0.5000
C: 0.6621 0.1754 0.9998
C: 0.0000 0.5000 0.0000



VASP calculation (PBE) on a geometry-optimized SrSmB structure.

Values from the calculation:
Its energy above the most stable polymorph in this dataset is 0.0 meV/atom. As for the total energy: -3.916 eV/atom. Its magnetic moment is 0.00 Bohr magnetons per cell. Its symmetry is F-43m.

Cell: 4.7764 4.7764 4.7764 Å, 60.00 60.00 60.00°
Fractional positions:
Sr: 0.7500 0.7500 0.7500
B: 0.0000 0.0000 0.0000
Sm: 0.2500 0.2500 0.2500



VASP calculation (PBE) on a geometry-optimized RbTaBePd structure.

Values from the calculation:
Its energy above the most stable polymorph in this dataset is 0.0 meV/atom. As for the total energy: -4.206 eV/atom. Its magnetic moment is 0.00 Bohr magnetons per cell. Its symmetry is F-43m.

Cell: 4.6552 4.6552 4.6552 Å, 60.00 60.00 60.00°
Fractional positions:
Ta: 0.2500 0.2500 0.2500
Be: 0.7500 0.7500 0.7500
Rb: 0.5000 0.5000 0.5000
Pd: 0.0000 0.0000 0.0000